[1]
Here is a relaxed Ba2ZrB crystal from the Open Quantum Materials Database. Energies are from GGA-PBE. Values from VASP.

Structure (Quantum ESPRESSO input):
```
&SYSTEM
  ibrav = 0, nat = 16, ntyp = 3
/
ATOMIC_SPECIES
Ba 137.33 Ba.upf
Zr 91.22 Zr.upf
B 10.81 B.upf
ATOMIC_POSITIONS angstrom
Ba 0.000 0.000 0.000
Ba 0.000 3.798 3.798
Ba 1.899 1.899 1.899
Ba 1.899 5.696 5.696
Ba 3.798 0.000 3.798
Ba 3.798 3.798 0.000
Ba 5.696 1.899 5.696
Ba 5.696 5.696 1.899
Zr 0.000 0.000 3.798
Zr 0.000 3.798 0.000
Zr 3.798 0.000 0.000
Zr 3.798 3.798 3.798
B 1.899 1.899 5.696
B 1.899 5.696 1.899
B 5.696 1.899 1.899
B 5.696 5.696 5.696
CELL_PARAMETERS angstrom
7.595 0.000 0.000
0.000 7.595 0.000
0.000 0.000 7.595
```

## Properties
symmetry: F-43m (216)
total DFT energy (no corrections): -3.536 eV/atom

[2]
Here is a relaxed BaZrB4 crystal from the Open Quantum Materials Database. Energies are from GGA-PBE. Values from VASP.

Structure (Quantum ESPRESSO input):
```
&SYSTEM
  ibrav = 0, nat = 6, ntyp = 3
/
ATOMIC_SPECIES
Ba 137.33 Ba.upf
Zr 91.22 Zr.upf
B 10.81 B.upf
ATOMIC_POSITIONS angstrom
Ba 0.000 0.000 0.000
Zr 0.000 0.000 4.224
B 0.000 1.871 2.522
B 0.000 1.871 5.927
B 1.620 0.935 2.522
B 1.620 0.935 5.927
CELL_PARAMETERS angstrom
3.240 0.000 0.000
-1.620 2.806 0.000
0.000 0.000 8.449
```

## Properties
symmetry: P6/mmm (191)
polymorph energy (0 for the lowest one): 0 meV/atom
total DFT energy (no corrections): -6.503 eV/atom

[3]
Here is a relaxed BaZrB crystal from the Open Quantum Materials Database. Energies are from GGA-PBE. Values from VASP.

Structure (Quantum ESPRESSO input):
```
&SYSTEM
  ibrav = 0, nat = 12, ntyp = 3
/
ATOMIC_SPECIES
Ba 137.33 Ba.upf
Zr 91.22 Zr.upf
B 10.81 B.upf
ATOMIC_POSITIONS angstrom
Ba 0.000 0.000 0.000
Ba 0.000 3.301 3.301
Ba 3.301 0.000 3.301
Ba 3.301 3.301 0.000
Zr 0.000 0.000 3.301
Zr 0.000 3.301 0.000
Zr 3.301 0.000 0.000
Zr 3.301 3.301 3.301
B 1.650 1.650 1.650
B 1.650 4.951 4.951
B 4.951 1.650 4.951
B 4.951 4.951 1.650
CELL_PARAMETERS angstrom
6.602 0.000 0.000
0.000 6.602 0.000
0.000 0.000 6.602
```

## Properties
symmetry: F-43m (216)
polymorph energy (0 for the lowest one): 0 meV/atom
total DFT energy (no corrections): -4.758 eV/atom

Q: Which value of total DFT energy (no corrections) does entry 1 give?
A: -3.536 eV/atom

Q: Which formula does entry 1 have?
A: Ba2ZrB

Q: Among the records above, which one has the lowest total DFT energy (no corrections)?
A: BaZrB4